[1]
# Er2LuTl

Crystalline Er2LuTl at its relaxed geometry (PBE, the Alexandria database).

Output
- distance to the lowest polymorph of the same formula (eV per atom) = 0.056
- symmetry = R-3m, No. 166
- total magnetization (μB per formula unit) = 0.00
- energy of formation from the pure elements (eV per atom) = -0.103

a b c (Å): 3.5148 3.5148 11.1134
angles (deg): 80.90 80.90 60.00
Last column: nearest neighbours and their distance in Å.
Fractional coordinates of all 4 atoms:
Tl (0.0000, 0.0000, 0.0000)  6 Er 3.33, 6 Tl 3.51
Lu (0.5000, 0.5000, 0.5000)  6 Er 3.47, 6 Lu 3.51
Er (0.2526, 0.2526, 0.2422)  3 Tl 3.33, 3 Lu 3.47, 6 Er 3.51
Er (0.7474, 0.7474, 0.7578)  3 Tl 3.33, 3 Lu 3.47, 6 Er 3.51



[2]
# MgCN2

Crystalline MgCN2 at its relaxed geometry (PBE, the Alexandria database).

Output
- symmetry = Fm-3m, No. 225
- total magnetization (μB per formula unit) = 0.00
- uncorrected formation energy (meV/atom) = 2245

a b c (Å): 3.6942 3.6942 3.6942
angles (deg): 60.00 60.00 60.00
Last column: nearest neighbours and their distance in Å.
Fractional coordinates of all 4 atoms:
Mg (0.5000, 0.5000, 0.5000)  8 N 2.26
C (0.0000, 0.0000, 0.0000)  8 N 2.26
N (0.2500, 0.2500, 0.2500)  4 Mg 2.26, 4 C 2.26
N (0.7500, 0.7500, 0.7500)  4 C 2.26, 4 Mg 2.26



[3]
# ZrP4Se

Crystalline ZrP4Se at its relaxed geometry (PBE, the Alexandria database).

Output
- symmetry = F-43m, No. 216
- total magnetization (μB per formula unit) = 0.00
- uncorrected formation energy (meV/atom) = 164

a b c (Å): 5.1869 5.1869 5.1869
angles (deg): 60.00 60.00 60.00
Last column: nearest neighbours and their distance in Å.
Fractional coordinates of all 6 atoms:
Zr (0.0000, 0.0000, 0.0000)  12 P 3.06, 4 Se 3.18
P (0.8541, 0.3820, 0.3820)  6 P 2.45-2.74
P (0.3820, 0.3820, 0.8541)  6 P 2.45-2.74
P (0.3820, 0.8541, 0.3820)  6 P 2.45-2.74
P (0.3820, 0.3820, 0.3820)  6 P 2.45-2.74
Se (0.7500, 0.7500, 0.7500)  12 P 3.03, 4 Zr 3.18



[4]
# PrNdAgRh

Crystalline PrNdAgRh at its relaxed geometry (PBE, the Alexandria database).

Output
- symmetry = F-43m, No. 216
- total magnetization (μB per formula unit) = 0.00
- energy of formation from the pure elements (eV per atom) = -0.423

a b c (Å): 5.1702 5.1702 5.1702
angles (deg): 60.00 60.00 60.00
Last column: nearest neighbours and their distance in Å.
Fractional coordinates of all 4 atoms:
Pr (0.0000, 0.0000, 0.0000)  4 Ag 3.17, 4 Rh 3.17
Rh (0.7500, 0.7500, 0.7500)  4 Pr 3.17, 4 Nd 3.17
Nd (0.5000, 0.5000, 0.5000)  4 Rh 3.17, 4 Ag 3.17
Ag (0.2500, 0.2500, 0.2500)  4 Pr 3.17, 4 Nd 3.17



[5]
# Sc3SiHg

Crystalline Sc3SiHg at its relaxed geometry (PBE, the Alexandria database).

Output
- distance to the lowest polymorph of the same formula (eV per atom) = 0.000
- symmetry = Pm-3m, No. 221
- total magnetization (μB per formula unit) = 0.00
- uncorrected formation energy (meV/atom) = -152

a b c (Å): 5.0022 5.0022 5.0022
angles (deg): 90.00 90.00 90.00
Last column: nearest neighbours and their distance in Å.
Fractional coordinates of all 5 atoms:
Sc (0.0000, 0.5000, 0.0000)  2 Si 2.50
Sc (0.0000, 0.0000, 0.5000)  2 Si 2.50
Sc (0.5000, 0.0000, 0.0000)  2 Si 2.50
Si (0.0000, 0.0000, 0.0000)  6 Sc 2.50
Hg (0.5000, 0.5000, 0.5000)  12 Sc 3.54



[6]
# Zr2SnC

Crystalline Zr2SnC at its relaxed geometry (PBE, the Alexandria database).

Output
- distance to the lowest polymorph of the same formula (eV per atom) = 0.000
- symmetry = P6_3/mmc, No. 194
- total magnetization (μB per formula unit) = 0.00
- energy of formation from the pure elements (eV per atom) = -0.788

a b c (Å): 3.3762 3.3762 14.8254
angles (deg): 90.00 90.00 120.00
Last column: nearest neighbours and their distance in Å.
Fractional coordinates of all 8 atoms:
Zr (0.3333, 0.6667, 0.0847)  3 C 2.32
Zr (0.3333, 0.6667, 0.4153)  3 C 2.32
Zr (0.6667, 0.3333, 0.5847)  3 C 2.32
Zr (0.6667, 0.3333, 0.9153)  3 C 2.32
Sn (0.3333, 0.6667, 0.7500)  6 Zr 3.13, 6 Sn 3.38
Sn (0.6667, 0.3333, 0.2500)  6 Zr 3.13, 6 Sn 3.38
C (0.0000, 0.0000, 0.0000)  6 Zr 2.32
C (0.0000, 0.0000, 0.5000)  6 Zr 2.32



[7]
# AlB3Cl

Crystalline AlB3Cl at its relaxed geometry (PBE, the Alexandria database).

Output
- distance to the lowest polymorph of the same formula (eV per atom) = 0.000
- symmetry = Pm-3m, No. 221
- total magnetization (μB per formula unit) = 0.00
- uncorrected formation energy (meV/atom) = 1772

a b c (Å): 4.3174 4.3174 4.3174
angles (deg): 90.00 90.00 90.00
Last column: nearest neighbours and their distance in Å.
Fractional coordinates of all 5 atoms:
B (0.0000, 0.5000, 0.0000)  2 Al 2.16
B (0.0000, 0.0000, 0.5000)  2 Al 2.16
B (0.5000, 0.0000, 0.0000)  2 Al 2.16
Al (0.0000, 0.0000, 0.0000)  6 B 2.16
Cl (0.5000, 0.5000, 0.5000)  12 B 3.05



[8]
# SmEuTl2

Crystalline SmEuTl2 at its relaxed geometry (PBE, the Alexandria database).

Output
- distance to the lowest polymorph of the same formula (eV per atom) = 0.000
- symmetry = P4/mmm, No. 123
- total magnetization (μB per formula unit) = 7.17
- energy of formation from the pure elements (eV per atom) = -0.404

a b c (Å): 3.9181 3.9181 7.8657
angles (deg): 90.00 90.00 90.00
Last column: nearest neighbours and their distance in Å.
Fractional coordinates of all 4 atoms:
Eu (0.5000, 0.5000, 0.5000)  8 Tl 3.45
Tl (0.0000, 0.0000, 0.7615)  4 Sm 3.35, 4 Eu 3.45
Tl (0.0000, 0.0000, 0.2385)  4 Sm 3.35, 4 Eu 3.45
Sm (0.5000, 0.5000, 0.0000)  8 Tl 3.35



[9]
# Sr2MnGe3Ir4

Crystalline Sr2MnGe3Ir4 at its relaxed geometry (PBE, the Alexandria database).

Output
- symmetry = P-4m2, No. 115
- total magnetization (μB per formula unit) = 4.02
- energy of formation from the pure elements (eV per atom) = -0.514

a b c (Å): 4.2450 4.2450 10.6170
angles (deg): 90.00 90.00 90.00
Last column: nearest neighbours and their distance in Å.
Fractional coordinates of all 10 atoms:
Sr (0.5000, 0.0000, 0.2491)  8 Ir 3.25-3.39, 6 Ge 3.27-3.41, 2 Mn 3.41
Sr (0.0000, 0.5000, 0.7509)  8 Ir 3.25-3.39, 6 Ge 3.27-3.41, 2 Mn 3.41
Mn (0.5000, 0.5000, 0.5000)  4 Ir 2.56
Ge (0.0000, 0.0000, 0.5000)  4 Ir 2.56
Ge (0.5000, 0.0000, 0.8739)  5 Ir 2.51-2.55
Ge (0.0000, 0.5000, 0.1261)  5 Ir 2.51-2.55
Ir (0.5000, 0.5000, 0.0000)  4 Ge 2.51
Ir (0.0000, 0.0000, 0.0000)  4 Ge 2.51
Ir (0.5000, 0.0000, 0.6340)  3 Ge 2.55-2.56, 2 Mn 2.56
Ir (0.0000, 0.5000, 0.3660)  3 Ge 2.55-2.56, 2 Mn 2.56